# 1
Y3MgPd3 | GGA-PBE | relaxed

Geometry as POSCAR:
```
Y3MgPd3
1.0
6.747 1.051 0.271
-2.065 6.509 0.271
-0.401 -0.648 6.994
Mg Pd Y
2 6 6
Direct
0.739 0.739 0.870
0.261 0.261 0.130
0.065 0.065 0.817
0.935 0.935 0.183
0.493 0.027 0.283
0.507 0.973 0.717
0.973 0.507 0.717
0.027 0.493 0.283
0.744 0.256 0.000
0.172 0.828 0.500
0.348 0.348 0.635
0.256 0.744 0.000
0.828 0.172 0.500
0.652 0.652 0.365
```

calculated formation energy: -62 kJ/mol of atoms
spin magnetization: 0.000 μB/f.u.
calculated total energy: -5.87 eV/atom
energy above the most stable polymorph in this dataset: 130.3 meV per atom



# 2
YMgPd | GGA-PBE | relaxed

Geometry as POSCAR:
```
YMgPd
1.0
-1.160 -1.827 -2.742
0.350 -2.959 1.823
-4.642 2.902 2.256
Y Mg Pd
1 1 1
Direct
0.932 0.932 0.864
0.644 0.644 0.288
0.274 0.274 0.548
```

calculated formation energy: -54 kJ/mol of atoms
spin magnetization: 0.000 μB/f.u.
calculated total energy: -4.97 eV/atom